[1]
A plane-wave DFT calculation with PBE was carried out for an optimized crystal structure of SmPb3F8.

The structure belongs to space group Pm-3m (No. 221); the cell edges are 5.972, 5.972 and 5.972 Å and the angles 90.00°, 90.00° and 90.00°. The inequivalent atoms are Sm at (0.000, 0.000, 0.000), Pb at (0.000, 0.500, 0.500) and F at (0.228, 0.228, 0.228).

As for the density of states at the Fermi level: 2.958 states/eV per cell.



[2]
A plane-wave DFT calculation with PBE was carried out for an optimized crystal structure of SmPb2F6.

The structure belongs to space group C2/m (No. 12); the cell edges are 14.175, 3.547 and 7.570 Å and the angles 90.00°, 117.91° and 90.00°. The inequivalent atoms are Sm at (0.000, 0.000, 0.000), Pb at (0.164, 0.000, 0.628), F at (0.008, 0.000, 0.311), F at (0.102, 0.500, 0.003) and F at (0.170, 0.500, 0.382).

As for the density of states at the Fermi level: 6.185 states/eV per cell.



[3]
A plane-wave DFT calculation with PBE was carried out for an optimized crystal structure of Sn2Pb2F.

The structure belongs to space group P4/mbm (No. 127); the cell edges are 6.773, 6.773 and 5.817 Å and the angles 90.00°, 90.00° and 90.00°. The inequivalent atoms are Sn at (0.165, 0.335, 0.000), Pb at (0.185, 0.685, 0.500) and F at (0.000, 0.000, 0.000).

As for the density of states at the Fermi level: 4.047 states/eV per cell.



[4]
A plane-wave DFT calculation with PBE was carried out for an optimized crystal structure of SnPbF2.

The structure belongs to space group I-42d (No. 122); the cell edges are 6.048, 6.048 and 11.305 Å and the angles 90.00°, 90.00° and 90.00°. The inequivalent atoms are Sn at (0.000, 0.000, 0.000), Pb at (0.000, 0.000, 0.500) and F at (0.171, 0.250, 0.125).

As for the density of states at the Fermi level: 7.486 states/eV per cell.



[5]
A plane-wave DFT calculation with PBE was carried out for an optimized crystal structure of Sn5Pb3F12.

The structure belongs to space group Ia-3d (No. 230); the cell edges are 14.864, 14.864 and 14.864 Å and the angles 90.00°, 90.00° and 90.00°. The inequivalent atoms are Sn at (0.000, 0.000, 0.000), Sn at (0.000, 0.250, 0.375), Pb at (0.000, 0.250, 0.125) and F at (0.039, 0.081, 0.633).

As for the density of states at the Fermi level: 64.000 states/eV per cell.



[6]
A plane-wave DFT calculation with PBE was carried out for an optimized crystal structure of SnPbF.

The structure belongs to space group Amm2 (No. 38); the cell edges are 14.257, 3.458 and 5.954 Å and the angles 90.00°, 90.00° and 90.00°. The inequivalent atoms are Sn at (0.202, 0.000, 0.000), Pb at (0.000, 0.000, 0.336), Pb at (0.500, 0.000, 0.496) and F at (0.327, 0.000, 0.507).

As for the density of states at the Fermi level: 3.519 states/eV per cell.



[7]
A plane-wave DFT calculation with PBE was carried out for an optimized crystal structure of Sn2PbF6.

The structure belongs to space group C2/c (No. 15); the cell edges are 9.325, 13.026 and 6.377 Å and the angles 90.00°, 113.94° and 90.00°. The inequivalent atoms are Sn at (0.130, 0.123, 0.090), Pb at (0.000, 0.404, 0.250), F at (0.134, 0.136, 0.426), F at (0.136, 0.445, 0.675) and F at (0.152, 0.284, 0.107).

As for the density of states at the Fermi level: 0.000 states/eV per cell.



[8]
A plane-wave DFT calculation with PBE was carried out for an optimized crystal structure of Sn2PbF6.

The structure belongs to space group C2/c (No. 15); the cell edges are 10.213, 12.060 and 5.672 Å and the angles 90.00°, 105.03° and 90.00°. The inequivalent atoms are Sn at (0.186, 0.110, 0.085), Pb at (0.000, 0.364, 0.250), F at (0.135, 0.299, 0.951), F at (0.137, 0.189, 0.382) and F at (0.153, 0.465, 0.625).

As for the density of states at the Fermi level: 0.000 states/eV per cell.



The records above yield DFT total energy values of -5.31, -5.36, -3.95, -4.05, -4.45, -4.14, -4.83, -4.84 eV per atom, respectively.